Entry 1:
The following is a DFT calculation (GGA-PBE) of an optimized crystal structure of Dy6YHo3.

Output
Energy relative to the elements = 0.124 eV/atom
Symmetry = Cmc2_1, No. 36
Total energy = -4.66 eV per atom

Lattice parameters (Å, degrees): 6.349 11.513 11.513 130.83 90.00 90.00
Fractional coordinates of all 20 atoms:
Ho (0.094, 0.420, 0.580)
Ho (0.489, 0.296, 0.042)
Ho (0.989, 0.042, 0.296)
Ho (0.989, 0.704, 0.958)
Ho (0.594, 0.580, 0.420)
Ho (0.489, 0.958, 0.704)
Dy (0.069, 0.742, 0.621)
Dy (0.790, 0.302, 0.698)
Dy (0.815, 0.015, 0.985)
Dy (0.290, 0.698, 0.302)
Dy (0.328, 0.457, 0.895)
Dy (0.828, 0.543, 0.105)
Dy (0.315, 0.985, 0.015)
Dy (0.828, 0.895, 0.457)
Dy (0.328, 0.105, 0.543)
Dy (0.569, 0.258, 0.379)
Dy (0.569, 0.621, 0.742)
Dy (0.069, 0.379, 0.258)
Y (0.514, 0.839, 0.161)
Y (0.014, 0.161, 0.839)

***

Entry 2:
The following is a DFT calculation (GGA-PBE) of an optimized crystal structure of Sr2BSb2.

Output
Symmetry = I4/mmm, No. 139
ΔE_f (raw) = 0.2638 eV per atom
Total energy = -3.39 eV per atom

Lattice parameters (Å, degrees): 4.171 4.171 9.536 77.37 77.37 90.00
Site moments in Bohr magnetons follow the coordinates.
Fractional coordinates of all 5 atoms:
Sb (0.750, 0.250, 0.500)  0.00
Sb (0.250, 0.750, 0.500)  0.00
B (0.000, 0.000, 0.000)  0.24
Sr (0.404, 0.404, 0.191)  0.03
Sr (0.596, 0.596, 0.809)  0.03

***

Entry 3:
The following is a DFT calculation (GGA-PBE) of an optimized crystal structure of Pa2AsO2.

Output
Symmetry = Fddd, No. 70
ΔE_f (raw) = -2.3737 eV per atom
Total energy = -9.09 eV per atom

Lattice parameters (Å, degrees): 6.220 6.220 6.169 112.23 112.23 104.45
Fractional coordinates of all 10 atoms:
As (0.500, 0.500, 0.000)
As (0.750, 0.250, 0.500)
O (0.117, 0.617, 0.234)
O (0.867, 0.867, 0.734)
O (0.383, 0.883, 0.766)
O (0.133, 0.133, 0.266)
Pa (0.040, 0.960, 0.500)
Pa (0.210, 0.790, 0.000)
Pa (0.460, 0.540, 0.500)
Pa (0.790, 0.210, 0.000)

***

Entry 4:
The following is a DFT calculation (GGA-PBE) of an optimized crystal structure of Sn5P2Pd12.

Output
Energy relative to the elements = -0.396 eV/atom
Symmetry = C2/m, No. 12
Total energy = -5.30 eV per atom

Lattice parameters (Å, degrees): 6.274 8.032 7.236 100.58 90.00 112.99
Fractional coordinates of all 19 atoms:
Pd (0.393, 0.298, 0.926)
Pd (0.945, 0.890, 0.823)
Pd (0.901, 0.297, 0.501)
Pd (0.099, 0.703, 0.499)
Pd (0.605, 0.703, 0.499)
Pd (0.905, 0.298, 0.926)
Pd (0.504, 0.008, 0.706)
Pd (0.607, 0.702, 0.074)
Pd (0.055, 0.110, 0.177)
Pd (0.095, 0.702, 0.074)
Pd (0.395, 0.297, 0.501)
Pd (0.496, 0.992, 0.294)
Sn (0.719, 0.438, 0.247)
Sn (0.281, 0.562, 0.753)
Sn (0.758, 0.517, 0.753)
Sn (0.000, 0.000, 0.500)
Sn (0.242, 0.483, 0.247)
P (0.687, 0.000, 0.000)
P (0.313, 0.000, 0.000)

***

Entry 5:
The following is a DFT calculation (GGA-PBE) of an optimized crystal structure of ScBe7.

Output
Energy relative to the elements = 0.454 eV/atom
Symmetry = Fm-3m, No. 225
Total energy = -3.60 eV per atom

Lattice parameters (Å, degrees): 4.978 4.978 4.978 60.00 60.00 60.00
Site moments in Bohr magnetons follow the coordinates.
Fractional coordinates of all 8 atoms:
Sc (0.000, 0.000, 0.000)  0.56
Be (0.000, 0.500, 0.000)  0.07
Be (0.500, 0.000, 0.000)  0.07
Be (0.500, 0.000, 0.500)  0.07
Be (0.500, 0.500, 0.000)  0.07
Be (0.000, 0.000, 0.500)  0.07
Be (0.500, 0.500, 0.500)  0.00
Be (0.000, 0.500, 0.500)  0.07

***

Entry 6:
The following is a DFT calculation (GGA-PBE) of an optimized crystal structure of Ac11Cd9Ni4.

Output
Energy relative to the elements = -0.302 eV/atom
Symmetry = Cmmm, No. 65
Total energy = -3.49 eV per atom

Lattice parameters (Å, degrees): 3.997 14.003 14.003 112.94 90.00 90.00
Fractional coordinates of all 24 atoms:
Ac (0.000, 0.374, 0.626)
Ac (0.000, 0.000, 0.000)
Ac (0.000, 0.419, 0.083)
Ac (0.000, 0.626, 0.374)
Ac (0.000, 0.312, 0.312)
Ac (0.000, 0.917, 0.581)
Ac (0.000, 0.162, 0.838)
Ac (0.000, 0.083, 0.419)
Ac (0.000, 0.838, 0.162)
Ac (0.000, 0.581, 0.917)
Ac (0.000, 0.688, 0.688)
Ni (0.500, 0.749, 0.551)
Ni (0.500, 0.251, 0.449)
Ni (0.500, 0.449, 0.251)
Ni (0.500, 0.551, 0.749)
Cd (0.500, 0.636, 0.161)
Cd (0.500, 0.219, 0.079)
Cd (0.500, 0.364, 0.839)
Cd (0.500, 0.161, 0.636)
Cd (0.500, 0.079, 0.219)
Cd (0.500, 0.921, 0.781)
Cd (0.500, 0.500, 0.500)
Cd (0.500, 0.839, 0.364)
Cd (0.500, 0.781, 0.921)

***

Entry 7:
The following is a DFT calculation (GGA-PBE) of an optimized crystal structure of Na4Tm3ScS8.

Output
Symmetry = R-3m, No. 166
ΔE_f (raw) = -1.8233 eV per atom
Total energy = -5.45 eV per atom

Lattice parameters (Å, degrees): 7.785 8.036 7.785 119.00 120.00 90.00
Fractional coordinates of all 16 atoms:
Na (0.500, 0.000, 0.000)
Na (0.000, 0.000, 0.000)
Na (0.500, 0.000, 0.500)
Na (0.000, 0.000, 0.500)
S (0.236, 0.721, 0.985)
S (0.764, 0.279, 0.015)
S (0.236, 0.721, 0.473)
S (0.258, 0.274, 0.516)
S (0.764, 0.279, 0.527)
S (0.748, 0.721, 0.985)
S (0.742, 0.726, 0.484)
S (0.252, 0.279, 0.015)
Tm (0.500, 0.500, 0.500)
Tm (0.500, 0.500, 0.000)
Tm (0.000, 0.500, 0.500)
Sc (0.000, 0.500, 0.000)

***

Entry 8:
The following is a DFT calculation (GGA-PBE) of an optimized crystal structure of Tb5Dy2Er2.

Output
Energy relative to the elements = 0.185 eV/atom
Symmetry = Ima2, No. 46
Total energy = -4.42 eV per atom

Lattice parameters (Å, degrees): 12.682 6.079 10.256 107.24 128.19 90.00
Fractional coordinates of all 18 atoms:
Dy (0.198, 0.257, 0.500)
Dy (0.802, 0.757, 0.500)
Dy (0.500, 0.386, 0.000)
Dy (0.000, 0.886, 0.000)
Tb (0.331, 0.103, 0.286)
Tb (0.847, 0.340, 0.095)
Tb (0.068, 0.792, 0.500)
Tb (0.455, 0.603, 0.286)
Tb (0.748, 0.840, 0.095)
Tb (0.153, 0.244, 0.905)
Tb (0.252, 0.744, 0.905)
Tb (0.545, 0.316, 0.714)
Tb (0.932, 0.292, 0.500)
Tb (0.669, 0.816, 0.714)
Er (0.817, 0.314, 0.729)
Er (0.183, 0.585, 0.271)
Er (0.412, 0.814, 0.729)
Er (0.588, 0.085, 0.271)

***

Entry 9:
The following is a DFT calculation (GGA-PBE) of an optimized crystal structure of Mo2HIrW.

Output
Symmetry = P4/mmm, No. 123
Total energy = -9.38 eV per atom

Lattice parameters (Å, degrees): 3.993 3.993 4.025 90.00 90.00 90.00
Fractional coordinates of all 5 atoms:
H (0.000, 0.000, 0.000)
Mo (0.000, 0.500, 0.000)
Mo (0.500, 0.000, 0.000)
W (0.000, 0.000, 0.500)
Ir (0.500, 0.500, 0.500)

***

Entry 10:
The following is a DFT calculation (GGA-PBE) of an optimized crystal structure of MnGaP2.

Output
Energy relative to the elements = 0.431 eV/atom
Symmetry = R-3m, No. 166
Total energy = -5.32 eV per atom

Lattice parameters (Å, degrees): 3.458 3.458 7.838 77.25 77.25 60.00
Site moments in Bohr magnetons follow the coordinates.
Fractional coordinates of all 4 atoms:
P (0.898, 0.898, 0.305)  -0.04
P (0.102, 0.102, 0.695)  -0.04
Ga (0.500, 0.500, 0.500)  0.04
Mn (0.000, 0.000, 0.000)  3.84